(1)
Below is a relaxed LiPt2Pb crystal, with properties calculated at the PBE level.

The structure in extended XYZ format:
```
8
Lattice="4.015 0.000 0.000 0.000 4.015 0.000 2.007 2.007 9.255" Properties=species:S:1:pos:R:3 pbc="T T T"
Pt 1.105 3.011 2.314
Pt 2.910 1.004 2.314
Pt 3.011 3.112 6.941
Pt 5.019 4.918 6.941
Pb 4.015 2.007 4.628
Pb 0.000 0.000 0.000
Li 2.007 2.007 0.000
Li 2.007 4.015 4.628
```

Output
Final energy in eV per atom: -4.543
Formation enthalpy at 0 K in eV per atom: -0.117



(2)
Below is a relaxed LiPtPb2 crystal, with properties calculated at the PBE level.

The structure in extended XYZ format:
```
4
Lattice="7.669 -0.004 -0.009 -2.864 3.745 -0.002 1.941 1.530 3.012" Properties=species:S:1:pos:R:3 pbc="T T T"
Pb 0.000 0.000 0.000
Pb 4.805 0.763 1.502
Pt -0.461 2.638 1.505
Li 2.403 1.870 -0.005
```

Output
Final energy in eV per atom: -4.011
Formation enthalpy at 0 K in eV per atom: -0.169



(3)
Below is a relaxed Li2PtPb crystal, with properties calculated at the PBE level.

The structure in extended XYZ format:
```
4
Lattice="-0.282 3.139 3.350 -2.527 -1.400 1.099 2.749 -2.754 2.812" Properties=species:S:1:pos:R:3 pbc="T T T"
Pt 0.516 -1.546 4.650
Li 2.282 -2.778 2.795
Li 0.333 0.604 2.620
Pb -0.331 -2.126 1.964
```

Output
Final energy in eV per atom: -3.754
Formation enthalpy at 0 K in eV per atom: -0.360



(4)
Below is a relaxed LiPtPb2 crystal, with properties calculated at the PBE level.

The structure in extended XYZ format:
```
4
Lattice="3.484 0.000 0.000 0.000 3.484 0.000 0.000 0.000 7.193" Properties=species:S:1:pos:R:3 pbc="T T T"
Pb 0.000 0.000 6.802
Pb 1.742 1.742 2.211
Pt 0.000 0.000 3.927
Li 1.742 1.742 5.044
```

Output
Final energy in eV per atom: -4.060
Formation enthalpy at 0 K in eV per atom: -0.217



Which of these has the lowest final energy?
LiPt2Pb